(1)
Here is a PBEsol-optimized structure of YCu2Os from Alexandria. Energies are from meta-GGA SCAN.

abc: 3.3125 3.3125 5.6779
angles: 90.00 90.00 90.01
Atoms (fractional coordinates):
1 Cu 0.0000 0.0000 0.7913
2 Cu 0.0000 0.0000 0.2087
3 Os 0.5000 0.5000 0.0000
4 Y 0.5000 0.5000 0.5000

SG: P4/mmm, No. 123
ΔE_f, meV per atom: 171.2
D(E_F), states/eV/atom: 0.48
VASP energy, eV per cell: -129.44

(2)
Here is a PBEsol-optimized structure of LiMg2Tl2 from Alexandria. Energies are from meta-GGA SCAN.

abc: 3.8304 7.8295 7.8295
angles: 90.00 90.00 90.00
Atoms (fractional coordinates):
1 Tl 0.0000 0.3483 0.8483
2 Tl 0.0000 0.8483 0.6517
3 Tl 0.0000 0.6517 0.1517
4 Tl 0.0000 0.1517 0.3483
5 Mg 0.5000 0.1504 0.6504
6 Mg 0.5000 0.6504 0.8496
7 Mg 0.5000 0.8496 0.3496
8 Mg 0.5000 0.3496 0.1504
9 Li 0.0000 0.0000 0.0000
10 Li 0.0000 0.5000 0.5000

SG: P4/mbm, No. 127
ΔE_f, meV per atom: -182.2
D(E_F), states/eV/atom: 0.35
VASP energy, eV per cell: -315.93